A plane-wave DFT calculation with PBE was carried out for crystalline UAlSe2 at its relaxed geometry.

a b c (Å): 3.5783 3.5783 8.9329
angles (deg): 78.45 78.45 60.00
Each line ends with the local moment (μB).
Sites, in units of the cell vectors:
U 0.0000 0.0000 0.0000  2.86
Al 0.5000 0.5000 0.5000  0.02
Se 0.1104 0.1104 0.6687  -0.02
Se 0.8896 0.8896 0.3313  -0.02

Summary:
space-group type = R-3m
density = 7.3 g cm⁻³
uncorrected energy = -5.84 eV per atom
uncorrected formation energy = -0.337 eV/atom

***

A plane-wave DFT calculation with PBE was carried out for crystalline La2MgAl4Au3 at its relaxed geometry.

a b c (Å): 4.4214 4.4214 11.0241
angles (deg): 90.00 90.00 90.00
Sites, in units of the cell vectors:
La 0.5000 0.0000 0.2443
La 0.0000 0.5000 0.7557
Mg 0.5000 0.5000 0.5000
Al 0.5000 0.5000 0.0000
Al 0.0000 0.0000 0.0000
Al 0.5000 0.0000 0.6447
Al 0.0000 0.5000 0.3553
Au 0.0000 0.0000 0.5000
Au 0.5000 0.0000 0.8750
Au 0.0000 0.5000 0.1250

Summary:
space-group type = P-4m2
density = 7.7 g cm⁻³
uncorrected energy = -4.29 eV per atom

***

A plane-wave DFT calculation with PBE was carried out for crystalline YThRu at its relaxed geometry.

a b c (Å): 4.8688 4.8688 4.8688
angles (deg): 60.00 60.00 60.00
Sites, in units of the cell vectors:
Y 0.0000 0.0000 0.0000
Ru 0.2500 0.2500 0.2500
Th 0.5000 0.5000 0.5000

Summary:
space-group type = F-43m
density = 8.6 g cm⁻³
uncorrected energy = -7.95 eV per atom